## GaAu2 (GGA-PBE)

Data for a relaxed GaAu2 crystal.

Cell: 9.2059 9.2059 6.9807 Å, 90.00 90.00 158.80°
Closest atoms and distances in Å follow each position.
Fractional coordinates of all 12 atoms:
Au 0.3241 0.6759 0.5939  5 Ga 2.65-2.82, 1 Au 2.95
Au 0.4630 0.5370 0.0001  4 Ga 2.75-2.79, 6 Au 2.95-3.05
Au 0.6759 0.3241 0.0939  5 Ga 2.65-2.82, 1 Au 2.95
Au 0.0852 0.9148 0.8231  4 Ga 2.65-2.90, 2 Au 2.95
Au 0.5370 0.4630 0.5001  4 Ga 2.75-2.79, 6 Au 2.95-3.05
Au 0.1710 0.8290 0.4497  4 Ga 2.66-2.69, 1 Au 2.95
Au 0.9148 0.0852 0.3231  4 Ga 2.65-2.90, 2 Au 2.95
Au 0.8290 0.1710 0.9497  4 Ga 2.66-2.69, 1 Au 2.95
Ga 0.2901 0.7099 0.2251  8 Au 2.65-2.90
Ga 0.9408 0.0592 0.6960  9 Au 2.65-2.80
Ga 0.0592 0.9408 0.1960  9 Au 2.65-2.80
Ga 0.7099 0.2901 0.7251  8 Au 2.65-2.90

Properties
formation energy from the elements	-0.155	eV per atom
crystal system	orthorhombic

***

## TaHg2F (GGA-PBE)

Data for a relaxed TaHg2F crystal.

Cell: 4.7557 4.7557 4.7557 Å, 60.00 60.00 60.00°
Closest atoms and distances in Å follow each position.
Fractional coordinates of all 4 atoms:
F 0.0000 0.0000 0.0000  8 Hg 2.91
Hg 0.2500 0.2500 0.2500  4 Ta 2.91, 4 F 2.91
Hg 0.7500 0.7500 0.7500  4 Ta 2.91, 4 F 2.91
Ta 0.5000 0.5000 0.5000  8 Hg 2.91

Properties
formation energy (no corrections)	0.317	eV per atom
crystal system	cubic
distance to the lowest polymorph of the same formula	100	meV/atom